[1]
# Tl2Mo9S11 (meta-GGA SCAN, PBEsol geometry)
data_Tl2Mo9S11
_cell_length_a 9.2064
_cell_length_b 9.2064
_cell_length_c 35.1898
_cell_angle_alpha 90.00
_cell_angle_beta 90.00
_cell_angle_gamma 120.00
_symmetry_space_group_name_H-M 'R -3 c'
_symmetry_Int_Tables_number 167
_symmetry_space_group_name_Hall '-R 3 2"c'
loop_
_atom_site_label
_atom_site_type_symbol
_atom_site_fract_x
_atom_site_fract_y
_atom_site_fract_z
Tl1 Tl 0.0000 0.0000 0.0517
Mo1 Mo 0.0000 0.1691 0.2500
Mo2 Mo 0.0111 0.1719 0.8138
S1 S 0.0000 0.0000 0.1344
S2 S 0.0000 0.3074 0.7500
S3 S 0.0164 0.3761 0.8585
# Energy above the most stable polymorph in this dataset: 0 meV/atom
# E_form (uncorrected): -712 meV per atom

---

[2]
# Ta2SbCl (meta-GGA SCAN, PBEsol geometry)
data_Ta2SbCl
_cell_length_a 3.0862
_cell_length_b 3.0862
_cell_length_c 30.6291
_cell_angle_alpha 90.00
_cell_angle_beta 90.00
_cell_angle_gamma 120.00
_symmetry_space_group_name_H-M 'R 3 m'
_symmetry_Int_Tables_number 160
_symmetry_space_group_name_Hall 'R 3 -2"'
loop_
_atom_site_label
_atom_site_type_symbol
_atom_site_fract_x
_atom_site_fract_y
_atom_site_fract_z
Ta1 Ta 0.0000 0.0000 0.0000
Ta2 Ta 0.0000 0.0000 0.2543
Sb1 Sb 0.0000 0.0000 0.5117
Cl1 Cl 0.0000 0.0000 0.7228
# Energy above the most stable polymorph in this dataset: 0 meV/atom
# E_form (uncorrected): -232 meV per atom

---

[3]
# Mg2BP3H6O14 (meta-GGA SCAN, PBEsol geometry)
data_Mg2BP3H6O14
_cell_length_a 7.074
_cell_length_b 8.644
_cell_length_c 16.322
_cell_angle_alpha 90.00
_cell_angle_beta 90.00
_cell_angle_gamma 90.00
_symmetry_space_group_name_H-M 'P 21 21 21'
_symmetry_Int_Tables_number 19
_symmetry_space_group_name_Hall 'P 2ac 2ab'
loop_
_atom_site_label
_atom_site_type_symbol
_atom_site_fract_x
_atom_site_fract_y
_atom_site_fract_z
Mg1 Mg 0.175 0.201 0.293
Mg2 Mg 0.177 0.834 0.308
B1 B 0.156 0.582 0.919
P1 P 0.019 0.008 0.137
P2 P 0.048 0.492 0.766
P3 P 0.143 0.531 0.085
H1 H 0.073 0.802 0.911
H2 H 0.190 0.004 0.594
H3 H 0.190 0.328 0.670
H4 H 0.201 0.651 0.638
H5 H 0.204 0.107 0.969
H6 H 0.249 0.718 0.457
O1 O 0.014 0.513 0.862
O2 O 0.017 0.028 0.352
O3 O 0.028 0.161 0.184
O4 O 0.033 0.867 0.193
O5 O 0.065 0.560 0.999
O6 O 0.148 0.985 0.773
O7 O 0.154 0.337 0.754
O8 O 0.163 0.629 0.735
O9 O 0.165 0.505 0.416
O10 O 0.178 0.004 0.069
O11 O 0.189 0.743 0.901
O12 O 0.207 0.341 0.605
O13 O 0.225 0.187 0.927
O14 O 0.246 0.371 0.081
# Uncorrected energy: -8.1827 eV/atom

---

[4]
# LiTiSiO4 (meta-GGA SCAN, PBEsol geometry)
data_LiTiSiO4
_cell_length_a 5.591
_cell_length_b 5.748
_cell_length_c 8.002
_cell_angle_alpha 90.00
_cell_angle_beta 90.00
_cell_angle_gamma 90.00
_symmetry_space_group_name_H-M 'I m m a'
_symmetry_Int_Tables_number 74
_symmetry_space_group_name_Hall '-I 2b 2'
loop_
_atom_site_label
_atom_site_type_symbol
_atom_site_fract_x
_atom_site_fract_y
_atom_site_fract_z
Li1 Li 0.000 0.000 0.000
Ti1 Ti 0.250 0.250 0.250
Si1 Si 0.000 0.250 0.617
O1 O 0.000 0.015 0.739
O2 O 0.239 0.250 0.496
# Energy above the most stable polymorph in this dataset: 22 meV/atom
# E_form (uncorrected): -2927 meV per atom

---

[5]
# Te2AsRh (meta-GGA SCAN, PBEsol geometry)
data_Te2AsRh
_cell_length_a 8.335
_cell_length_b 3.776
_cell_length_c 6.917
_cell_angle_alpha 90.00
_cell_angle_beta 111.90
_cell_angle_gamma 90.00
_symmetry_space_group_name_H-M 'C 1 m 1'
_symmetry_Int_Tables_number 8
_symmetry_space_group_name_Hall 'C -2y'
loop_
_atom_site_label
_atom_site_type_symbol
_atom_site_fract_x
_atom_site_fract_y
_atom_site_fract_z
Te1 Te 0.000 0.000 0.000
Te2 Te 0.188 0.000 0.609
As1 As 0.378 0.500 0.304
Rh1 Rh 0.087 0.500 0.305
# E_form (uncorrected): -176 meV per atom

---

[6]
# ReAgPt (meta-GGA SCAN, PBEsol geometry)
data_ReAgPt
_cell_length_a 6.007
_cell_length_b 6.007
_cell_length_c 6.007
_cell_angle_alpha 90.00
_cell_angle_beta 90.00
_cell_angle_gamma 90.00
_symmetry_space_group_name_H-M 'F -4 3 m'
_symmetry_Int_Tables_number 216
_symmetry_space_group_name_Hall 'F -4 2 3'
loop_
_atom_site_label
_atom_site_type_symbol
_atom_site_fract_x
_atom_site_fract_y
_atom_site_fract_z
Re1 Re 0.000 0.000 0.000
Ag1 Ag 0.250 0.250 0.250
Pt1 Pt 0.250 0.250 0.750
# Energy above the most stable polymorph in this dataset: 694 meV/atom
# ΔH_f (0 K): 915 meV/atom

---

[7]
# Ca2ScBRu (meta-GGA SCAN, PBEsol geometry)
data_Ca2ScBRu
_cell_length_a 5.807
_cell_length_b 5.807
_cell_length_c 4.278
_cell_angle_alpha 90.00
_cell_angle_beta 90.00
_cell_angle_gamma 90.00
_symmetry_space_group_name_H-M 'P 4/m m m'
_symmetry_Int_Tables_number 123
_symmetry_space_group_name_Hall '-P 4 2'
loop_
_atom_site_label
_atom_site_type_symbol
_atom_site_fract_x
_atom_site_fract_y
_atom_site_fract_z
Ca1 Ca 0.000 0.500 0.000
Sc1 Sc 0.000 0.000 0.000
B1 B 0.500 0.500 0.500
Ru1 Ru 0.000 0.000 0.500
# ΔH_f (0 K): 1542 meV/atom

---

[8]
# Os3RuN (meta-GGA SCAN, PBEsol geometry)
data_Os3RuN
_cell_length_a 3.986
_cell_length_b 3.986
_cell_length_c 3.986
_cell_angle_alpha 90.00
_cell_angle_beta 90.00
_cell_angle_gamma 90.00
_symmetry_space_group_name_H-M 'P m -3 m'
_symmetry_Int_Tables_number 221
_symmetry_space_group_name_Hall '-P 4 2 3'
loop_
_atom_site_label
_atom_site_type_symbol
_atom_site_fract_x
_atom_site_fract_y
_atom_site_fract_z
Os1 Os 0.000 0.000 0.500
Ru1 Ru 0.500 0.500 0.500
N1 N 0.000 0.000 0.000
# Energy above the most stable polymorph in this dataset: 0 meV/atom
# E_form (uncorrected): 804 meV per atom

---

Number 1: N(E_F) 0.25 states/eV/atom. Number 2: N(E_F) 0.53 states/eV/atom. Number 3: N(E_F) 0.00 states/eV/atom. Number 4: N(E_F) 0.14 states/eV/atom. Number 5: N(E_F) 0.43 states/eV/atom. Number 6: N(E_F) 0.28 states/eV/atom. Number 7: N(E_F) 0.89 states/eV/atom. Number 8: N(E_F) 0.78 states/eV/atom.